# TlTeS2N GGA-PBE relaxed
# Energy   -3.0507 eV/atom
# ρ   6.063 g/cm3
# Energy relative to the elements, uncorrected   1367 meV/atom
data_TlTeS2N
_chemical_formula_sum 'Tl1 Te1 S2 N1'
_cell_length_a 5.215
_cell_length_b 5.215
_cell_length_c 4.131
_cell_angle_alpha 90.00
_cell_angle_beta 90.00
_cell_angle_gamma 90.00
_space_group_name_H-M_alt 'P 4/m m m'
_space_group_IT_number 123
_space_group_name_Hall '-P 4 2'
loop_
_atom_site_label
_atom_site_fract_x
_atom_site_fract_y
_atom_site_fract_z
Tl1 0.000 0.000 0.000
Te1 0.500 0.500 0.500
S1 0.000 0.500 0.000
N1 0.000 0.000 0.500


# Sc2CdTe GGA-PBE relaxed
# Energy   -4.1801 eV/atom
# ρ   5.548 g/cm3
# Energy relative to the elements, uncorrected   0 meV/atom
data_Sc2CdTe
_chemical_formula_sum 'Sc8 Cd4 Te4'
_cell_length_a 7.337
_cell_length_b 7.337
_cell_length_c 7.337
_cell_angle_alpha 90.00
_cell_angle_beta 90.00
_cell_angle_gamma 90.00
_space_group_name_H-M_alt 'F -4 3 m'
_space_group_IT_number 216
_space_group_name_Hall 'F -4 2 3'
loop_
_atom_site_label
_atom_site_fract_x
_atom_site_fract_y
_atom_site_fract_z
Sc1 0.000 0.000 0.000
Sc2 0.250 0.250 0.250
Cd1 0.000 0.000 0.500
Te1 0.250 0.250 0.750